Computed, not measured: HfCr2P2 after structural relaxation at the GGA-PBE level of DFT.

Space-group type: P4/mbm (127)
Electronic total energy: -8.438 eV per atom
Crystal system: tetragonal

a = 6.8312 Å, b = 6.8312 Å, c = 2.9444 Å
α = 90.00°, β = 90.00°, γ = 90.00°
Fractional coordinates of all 10 atoms:
Hf: 0.0000 0.0000 0.0000
Hf: 0.5000 0.5000 0.0000
Cr: 0.1378 0.3622 0.5000
Cr: 0.3622 0.8622 0.5000
Cr: 0.6378 0.1378 0.5000
Cr: 0.8622 0.6378 0.5000
P: 0.1449 0.6449 0.0000
P: 0.3551 0.1449 0.0000
P: 0.6449 0.8551 0.0000
P: 0.8551 0.3551 0.0000

=====

Computed, not measured: HfCrP2 after structural relaxation at the GGA-PBE level of DFT.

Space-group type: Fm-3m (225)
Electronic total energy: -8.019 eV per atom
Crystal system: cubic
Relative energy among the computed polymorphs: 0.300 eV per atom

a = 4.3334 Å, b = 4.3334 Å, c = 4.3334 Å
α = 60.00°, β = 60.00°, γ = 60.00°
Fractional coordinates of all 4 atoms:
Hf: 0.0000 0.0000 0.0000
Cr: 0.5000 0.5000 0.5000
P: 0.2500 0.2500 0.2500
P: 0.7500 0.7500 0.7500

=====

Computed, not measured: HfCrP after structural relaxation at the GGA-PBE level of DFT.

Space-group type: P4_2/m (84)
Electronic total energy: -9.034 eV per atom
Crystal system: tetragonal

a = 6.8123 Å, b = 6.8123 Å, c = 3.8672 Å
α = 90.00°, β = 90.00°, γ = 90.00°
Fractional coordinates of all 12 atoms:
Hf: 0.0620 0.7304 0.0000
Hf: 0.2696 0.0620 0.5000
Hf: 0.7304 0.9380 0.5000
Hf: 0.9380 0.2696 0.0000
Cr: 0.3413 0.4143 0.0000
Cr: 0.4143 0.6587 0.5000
Cr: 0.5857 0.3413 0.5000
Cr: 0.6587 0.5857 0.0000
P: 0.1673 0.4359 0.5000
P: 0.4359 0.8327 0.0000
P: 0.5641 0.1673 0.0000
P: 0.8327 0.5641 0.5000

=====

Computed, not measured: HfCrP2 after structural relaxation at the GGA-PBE level of DFT.

Space-group type: I-42d (122)
Electronic total energy: -7.847 eV per atom
Crystal system: tetragonal
Relative energy among the computed polymorphs: 0.472 eV per atom

a = 6.9056 Å, b = 6.9056 Å, c = 6.9056 Å
α = 132.79°, β = 132.79°, γ = 68.98°
Fractional coordinates of all 8 atoms:
Hf: 0.0000 0.0000 0.0000
Hf: 0.7500 0.2500 0.5000
Cr: 0.2500 0.7500 0.5000
Cr: 0.5000 0.5000 0.0000
P: 0.1552 0.6250 0.0302
P: 0.3750 0.4052 0.5302
P: 0.5948 0.1250 0.9698
P: 0.8750 0.8448 0.4698

=====

Computed, not measured: HfCrP after structural relaxation at the GGA-PBE level of DFT.

Space-group type: Pnma (62)
Electronic total energy: -9.218 eV per atom
Crystal system: orthorhombic

a = 6.3739 Å, b = 3.6164 Å, c = 7.5450 Å
α = 90.00°, β = 90.00°, γ = 90.00°
Fractional coordinates of all 12 atoms:
Hf: 0.0325 0.2500 0.1740
Hf: 0.4675 0.7500 0.6740
Hf: 0.5325 0.2500 0.3260
Hf: 0.9675 0.7500 0.8260
Cr: 0.1402 0.2500 0.5594
Cr: 0.3598 0.7500 0.0594
Cr: 0.6402 0.2500 0.9406
Cr: 0.8598 0.7500 0.4406
P: 0.2294 0.7500 0.3679
P: 0.2706 0.2500 0.8679
P: 0.7294 0.7500 0.1321
P: 0.7706 0.2500 0.6321

=====

Computed, not measured: HfCr2P after structural relaxation at the GGA-PBE level of DFT.

Space-group type: I-42d (122)
Electronic total energy: -8.540 eV per atom
Crystal system: tetragonal

a = 5.5946 Å, b = 5.5946 Å, c = 5.5946 Å
α = 102.11°, β = 102.11°, γ = 125.49°
Fractional coordinates of all 8 atoms:
Hf: 0.0000 0.0000 0.0000
Hf: 0.7500 0.2500 0.5000
Cr: 0.2025 0.6250 0.0775
Cr: 0.3750 0.4525 0.5775
Cr: 0.5475 0.1250 0.9225
Cr: 0.8750 0.7975 0.4225
P: 0.2500 0.7500 0.5000
P: 0.5000 0.5000 0.0000

=====

Computed, not measured: HfCrP2 after structural relaxation at the GGA-PBE level of DFT.

Space-group type: R-3m (166)
Electronic total energy: -8.319 eV per atom
Crystal system: trigonal
Relative energy among the computed polymorphs: 0.000 eV per atom

a = 5.8929 Å, b = 5.8929 Å, c = 5.8929 Å
α = 36.09°, β = 36.09°, γ = 36.09°
Fractional coordinates of all 4 atoms:
Hf: 0.0000 0.0000 0.0000
Cr: 0.5000 0.5000 0.5000
P: 0.2399 0.2399 0.2399
P: 0.7601 0.7601 0.7601

=====

Computed, not measured: Hf2CrPRu after structural relaxation at the GGA-PBE level of DFT.

Space-group type: P4/mmm (123)
Electronic total energy: -8.203 eV per atom
Crystal system: tetragonal

a = 4.9656 Å, b = 4.9656 Å, c = 4.4434 Å
α = 90.00°, β = 90.00°, γ = 90.00°
Fractional coordinates of all 5 atoms:
Hf: 0.0000 0.5000 0.0000
Hf: 0.5000 0.0000 0.0000
Cr: 0.0000 0.0000 0.5000
P: 0.5000 0.5000 0.5000
Ru: 0.0000 0.0000 0.0000

=====

Taking the records one at a time from the top gives ΔH_f (0 K) values of -434; -420; -705; -248; -889; 112; -720; 640 meV per atom.